A plane-wave DFT calculation with PBE was carried out for crystalline RbCdO2F at its relaxed geometry.

Lattice parameters (Å, degrees): 4.3794 4.3794 4.8343 90.00 90.00 90.00
Last column: nearest neighbours and their distance in Å.
Space group P4/mmm (No. 123)
Asymmetric unit:
Rb (0.0000, 0.0000, 0.0000) x1  4 O 2.19, 2 F 2.42
Cd (0.5000, 0.5000, 0.5000) x1  4 F 3.10, 8 O 3.26
O (0.0000, 0.5000, 0.0000) x2  2 Rb 2.19
F (0.0000, 0.0000, 0.5000) x1  2 Rb 2.42

Density   4.5 g/cm³
Crystal system   tetragonal
Total moment   0.00 μB per cell
ΔE_f (raw)   0.11 eV/atom


A plane-wave DFT calculation with PBE was carried out for crystalline ReTcCl at its relaxed geometry.

Lattice parameters (Å, degrees): 2.8789 2.8789 6.3158 90.00 90.00 120.00
Last column: nearest neighbours and their distance in Å.
Space group P3m1 (No. 156)
Asymmetric unit:
Re (0.0000, 0.0000, 0.0000) x1  3 Tc 2.61, 3 Cl 2.76, 6 Re 2.88
Tc (0.6667, 0.3333, 0.3187) x1  3 Re 2.61, 3 Cl 2.68, 6 Tc 2.88
Cl (0.3333, 0.6667, 0.6517) x1  3 Tc 2.68, 3 Re 2.76, 6 Cl 2.88

Density   11.7 g/cm³
Crystal system   trigonal
Total moment   0.00 μB per cell
ΔE_f (raw)   0.29 eV/atom


> ΔE_f (raw) of number 2 (ReTcCl)?

0.29 eV/atom